No. 1
VASP calculation (PBE) on an optimized crystal structure of LiY2TlTe4.

## Properties
**Energy relative to the elements, uncorrected**: -1151 meV/atom

Lattice parameters (Å, degrees): 4.4486 7.7505 15.6920 90.00 90.00 106.68
Positions (direct):
Te 0.0000 0.0000 0.0000
Te 0.7307 0.4614 0.8905
Te 0.0000 0.0000 0.5000
Te 0.7307 0.4614 0.6095
Te 0.5611 0.1222 0.2500
Te 0.4389 0.8778 0.7500
Te 0.2693 0.5386 0.1095
Te 0.2693 0.5386 0.3905
Y 0.3664 0.7327 0.9356
Y 0.6336 0.2673 0.0644
Y 0.3664 0.7327 0.5644
Y 0.6336 0.2673 0.4356
Tl 0.8875 0.7749 0.2500
Tl 0.1125 0.2251 0.7500
Li 0.8359 0.6719 0.7500
Li 0.1641 0.3281 0.2500

No. 2
VASP calculation (PBE) on an optimized crystal structure of Ac4Pm2Nd3.

## Properties
**E_form**: 0.09 eV per atom
**Polymorph energy (0 for the lowest one)**: 0.0525 eV/atom

Lattice parameters (Å, degrees): 3.8221 3.8221 28.3431 90.00 90.00 120.00
Positions (direct):
Nd 0.0000 0.0000 0.3184
Nd 0.0000 0.0000 0.9826
Nd 0.6667 0.3333 0.6578
Ac 0.0000 0.0000 0.7692
Ac 0.0000 0.0000 0.5483
Ac 0.6667 0.3333 0.4298
Ac 0.6667 0.3333 0.2102
Pm 0.6667 0.3333 0.0828
Pm 0.6667 0.3333 0.8779

No. 3
VASP calculation (PBE) on an optimized crystal structure of La2Zn3Au9.

## Properties
**E_form**: -0.51 eV per atom

Lattice parameters (Å, degrees): 8.0510 8.0510 11.0709 89.56 111.56 120.35
Positions (direct):
Au 0.1176 0.9776 0.9288
Au 0.5488 0.1888 0.5712
Au 0.4512 0.8112 0.4288
Au 0.8824 0.0224 0.0712
Au 0.5527 0.0825 0.2544
Au 0.1110 0.8610 0.2500
Au 0.8708 0.8572 0.5690
Au 0.6719 0.7018 0.7544
Au 0.4616 0.6531 0.9291
Au 0.8890 0.1390 0.7500
Au 0.3281 0.2982 0.2456
Au 0.2118 0.6981 0.0690
Au 0.7882 0.3019 0.9310
Au 0.5384 0.3469 0.0709
Au 0.4473 0.9175 0.7456
Au 0.1292 0.1428 0.4310
Au 0.7760 0.4676 0.4291
Au 0.2240 0.5324 0.5709
La 0.6647 0.7499 0.2493
La 0.9994 0.5846 0.7493
La 0.3353 0.2501 0.7507
La 0.0006 0.4154 0.2507
Zn 0.1777 0.3556 0.9974
Zn 0.1419 0.8198 0.4974
Zn 0.5000 0.5000 0.5000
Zn 0.8223 0.6444 0.0026
Zn 0.8581 0.1802 0.5026
Zn 0.5000 0.0000 0.0000

No. 4
VASP calculation (PBE) on an optimized crystal structure of TiFeP.

## Properties
**E_form**: -1.04 eV per atom

Lattice parameters (Å, degrees): 3.5801 5.9610 5.9610 120.00 90.00 90.00
Positions (direct):
Ti 0.5000 0.0000 0.5798
Ti 0.5000 0.5798 0.0000
Ti 0.5000 0.4202 0.4202
P 0.0000 0.6667 0.3333
P 0.0000 0.3333 0.6667
P 0.5000 0.0000 0.0000
Fe 0.0000 0.2435 0.0000
Fe 0.0000 0.0000 0.2435
Fe 0.0000 0.7565 0.7565

No. 5
VASP calculation (PBE) on an optimized crystal structure of Zr3Ag5.

## Properties
**E_form**: 0.15 eV per atom
**Polymorph energy (0 for the lowest one)**: 0.1680 eV/atom

Lattice parameters (Å, degrees): 12.1743 5.5802 5.3723 90.00 90.00 117.64
Positions (direct):
Ag 0.3036 0.5394 0.5007
Ag 0.9259 0.8180 0.7500
Ag 0.0741 0.1820 0.2500
Ag 0.7949 0.1605 0.7500
Ag 0.6964 0.4606 0.4993
Ag 0.1852 0.0242 0.7500
Ag 0.3036 0.5394 0.9993
Ag 0.2051 0.8395 0.2500
Ag 0.6964 0.4606 0.0007
Ag 0.8149 0.9758 0.2500
Zr 0.5581 0.9293 0.2500
Zr 0.9376 0.5657 0.2500
Zr 0.4419 0.0707 0.7500
Zr 0.4567 0.3281 0.2500
Zr 0.0624 0.4343 0.7500
Zr 0.5433 0.6720 0.7500

No. 6
VASP calculation (PBE) on an optimized crystal structure of YAlTl2.

## Properties
**E_form**: -0.08 eV per atom
**Polymorph energy (0 for the lowest one)**: 0.1327 eV/atom

Lattice parameters (Å, degrees): 4.6909 3.5482 6.3152 86.29 90.00 90.00
Positions (direct):
Tl 0.0000 0.7956 0.9979
Tl 0.5000 0.1410 0.2554
Al 0.5000 0.0220 0.7250
Y 0.0000 0.5414 0.5217

No. 7
VASP calculation (PBE) on an optimized crystal structure of LaMg4Sc.

## Properties
**E_form**: -0.05 eV per atom
**Polymorph energy (0 for the lowest one)**: 0.0000 eV/atom

Lattice parameters (Å, degrees): 6.0244 6.0244 6.0244 60.00 60.00 60.00
Positions (direct):
La 0.0000 0.0000 0.0000
Mg 0.6244 0.6244 0.1269
Mg 0.1269 0.6244 0.6244
Mg 0.6244 0.1269 0.6244
Mg 0.6244 0.6244 0.6244
Sc 0.2500 0.2500 0.2500

No. 8
VASP calculation (PBE) on an optimized crystal structure of NaTc2W.

## Properties
**E_form**: 0.71 eV per atom
**Polymorph energy (0 for the lowest one)**: 0.0000 eV/atom

Lattice parameters (Å, degrees): 4.4453 4.4453 4.4453 60.00 60.00 60.00
Positions (direct):
Tc 0.7500 0.7500 0.7500
Tc 0.2500 0.2500 0.2500
W 0.5000 0.5000 0.5000
Na 0.0000 0.0000 0.0000